Entry 1:
# Hf2CoIr (PBE-GGA, optimized geometry)
# E_tot (eV per atom): -9.64
# ρ (g cm⁻³): 15.08
# M_tot (μB per formula unit): 0.00
# Crystal system: orthorhombic
# Energy relative to the elements (meV per atom): -668
data_Hf2CoIr
_chemical_formula_sum 'Hf8 Co4 Ir4'
_cell_length_a 6.3655
_cell_length_b 4.5865
_cell_length_c 9.1727
_cell_angle_alpha 90.00
_cell_angle_beta 90.00
_cell_angle_gamma 90.00
_symmetry_space_group_name_H-M 'P 1'
_symmetry_Int_Tables_number 1
loop_
_symmetry_equiv_pos_as_xyz
'x,y,z'
loop_
_atom_site_label
_atom_site_fract_x
_atom_site_fract_y
_atom_site_fract_z
Co1 0.7500 0.2500 0.1247
Co2 0.2500 0.7500 0.3753
Co3 0.7500 0.2500 0.6247
Co4 0.2500 0.7500 0.8753
Hf1 0.0000 0.7500 0.1251
Hf2 0.5000 0.7500 0.1251
Hf3 0.0000 0.2500 0.3749
Hf4 0.5000 0.2500 0.3749
Hf5 0.5000 0.7500 0.6251
Hf6 0.0000 0.7500 0.6251
Hf7 0.5000 0.2500 0.8749
Hf8 0.0000 0.2500 0.8749
Ir1 0.2500 0.2500 0.1249
Ir2 0.7500 0.7500 0.3751
Ir3 0.2500 0.2500 0.6249
Ir4 0.7500 0.7500 0.8751

Entry 2:
# Hf2CoIr (PBE-GGA, optimized geometry)
# E_tot (eV per atom): -9.64
# ρ (g cm⁻³): 15.08
# M_tot (μB per formula unit): 0.16
# Crystal system: cubic
# Energy relative to the elements (meV per atom): -668
data_Hf2CoIr
_chemical_formula_sum 'Hf12 Co6 Ir6'
_cell_length_a 4.5562
_cell_length_b 6.4528
_cell_length_c 13.6630
_cell_angle_alpha 90.00
_cell_angle_beta 90.00
_cell_angle_gamma 90.00
_symmetry_space_group_name_H-M 'P 1'
_symmetry_Int_Tables_number 1
loop_
_symmetry_equiv_pos_as_xyz
'x,y,z'
loop_
_atom_site_label
_atom_site_fract_x
_atom_site_fract_y
_atom_site_fract_z
Co1 0.0000 0.5000 0.0000
Co2 0.4999 0.0000 0.1667
Co3 0.9999 0.5000 0.3333
Co4 0.5000 0.0000 0.5000
Co5 0.0001 0.5000 0.6667
Co6 0.5001 0.0000 0.8333
Hf1 0.5000 0.2500 0.0000
Hf2 0.5000 0.7500 0.0000
Hf3 0.9998 0.2500 0.1667
Hf4 0.9998 0.7500 0.1667
Hf5 0.4998 0.2500 0.3333
Hf6 0.4998 0.7500 0.3333
Hf7 0.0000 0.2500 0.5000
Hf8 0.0000 0.7500 0.5000
Hf9 0.5002 0.2500 0.6667
Hf10 0.5002 0.7500 0.6667
Hf11 0.0002 0.2500 0.8333
Hf12 0.0002 0.7500 0.8333
Ir1 0.0000 0.0000 0.0000
Ir2 0.4997 0.5000 0.1666
Ir3 0.9997 0.0000 0.3334
Ir4 0.5000 0.5000 0.5000
Ir5 0.0003 0.0000 0.6666
Ir6 0.5003 0.5000 0.8334

Entry 3:
# Hf2CoIr (PBE-GGA, optimized geometry)
# E_tot (eV per atom): -9.63
# ρ (g cm⁻³): 15.13
# M_tot (μB per formula unit): 0.85
# Crystal system: orthorhombic
# Energy relative to the elements (meV per atom): -660
data_Hf2CoIr
_chemical_formula_sum 'Hf8 Co4 Ir4'
_cell_length_a 6.3328
_cell_length_b 6.6139
_cell_length_c 6.3735
_cell_angle_alpha 90.00
_cell_angle_beta 90.00
_cell_angle_gamma 90.00
_symmetry_space_group_name_H-M 'P 1'
_symmetry_Int_Tables_number 1
loop_
_symmetry_equiv_pos_as_xyz
'x,y,z'
loop_
_atom_site_label
_atom_site_fract_x
_atom_site_fract_y
_atom_site_fract_z
Co1 0.9938 0.2500 0.0026
Co2 0.4938 0.7500 0.4974
Co3 0.5062 0.2500 0.5026
Co4 0.0062 0.7500 0.9974
Hf1 0.2476 0.0006 0.2486
Hf2 0.2476 0.4994 0.2486
Hf3 0.7476 0.5006 0.2514
Hf4 0.7476 0.9994 0.2514
Hf5 0.2524 0.0006 0.7486
Hf6 0.2524 0.4994 0.7486
Hf7 0.7524 0.5006 0.7514
Hf8 0.7524 0.9994 0.7514
Ir1 0.4971 0.2500 0.0021
Ir2 0.9971 0.7500 0.4979
Ir3 0.0029 0.2500 0.5021
Ir4 0.5029 0.7500 0.9979

Entry 4:
# Li2HfCoSi2Ir2 (PBE-GGA, optimized geometry)
# E_tot (eV per atom): -6.69
# ρ (g cm⁻³): 10.62
# M_tot (μB per formula unit): 1.75
# Crystal system: tetragonal
data_Li2HfCoSi2Ir2
_chemical_formula_sum 'Li2 Hf1 Co1 Si2 Ir2'
_cell_length_a 4.2122
_cell_length_b 4.2122
_cell_length_c 6.1001
_cell_angle_alpha 90.00
_cell_angle_beta 90.00
_cell_angle_gamma 90.00
_symmetry_space_group_name_H-M 'P 1'
_symmetry_Int_Tables_number 1
loop_
_symmetry_equiv_pos_as_xyz
'x,y,z'
loop_
_atom_site_label
_atom_site_fract_x
_atom_site_fract_y
_atom_site_fract_z
Co1 0.5000 0.5000 0.0000
Hf1 0.0000 0.0000 0.5000
Ir1 0.5000 0.0000 0.2448
Ir2 0.0000 0.5000 0.7552
Li1 0.0000 0.5000 0.2151
Li2 0.5000 0.0000 0.7849
Si1 0.0000 0.0000 0.0000
Si2 0.5000 0.5000 0.5000

Entry 5:
# HfCoSbIr (PBE-GGA, optimized geometry)
# E_tot (eV per atom): -7.52
# ρ (g cm⁻³): 13.46
# M_tot (μB per formula unit): 1.51
# Crystal system: cubic
data_HfCoSbIr
_chemical_formula_sum 'Hf1 Co1 Sb1 Ir1'
_cell_length_a 4.5823
_cell_length_b 4.5823
_cell_length_c 4.5823
_cell_angle_alpha 60.00
_cell_angle_beta 60.00
_cell_angle_gamma 60.00
_symmetry_space_group_name_H-M 'P 1'
_symmetry_Int_Tables_number 1
loop_
_symmetry_equiv_pos_as_xyz
'x,y,z'
loop_
_atom_site_label
_atom_site_fract_x
_atom_site_fract_y
_atom_site_fract_z
Co1 0.7500 0.7500 0.7500
Hf1 0.2500 0.2500 0.2500
Ir1 0.5000 0.5000 0.5000
Sb1 0.0000 0.0000 0.0000

Entry 6:
# HfCoSbIr (PBE-GGA, optimized geometry)
# E_tot (eV per atom): -7.82
# ρ (g cm⁻³): 13.62
# M_tot (μB per formula unit): 1.10
# Crystal system: cubic
data_HfCoSbIr
_chemical_formula_sum 'Hf1 Co1 Sb1 Ir1'
_cell_length_a 4.5640
_cell_length_b 4.5640
_cell_length_c 4.5640
_cell_angle_alpha 60.00
_cell_angle_beta 60.00
_cell_angle_gamma 60.00
_symmetry_space_group_name_H-M 'P 1'
_symmetry_Int_Tables_number 1
loop_
_symmetry_equiv_pos_as_xyz
'x,y,z'
loop_
_atom_site_label
_atom_site_fract_x
_atom_site_fract_y
_atom_site_fract_z
Co1 0.7500 0.7500 0.7500
Hf1 0.5000 0.5000 0.5000
Ir1 0.2500 0.2500 0.2500
Sb1 0.0000 0.0000 0.0000

Entry 7:
# HfCoSiIr (PBE-GGA, optimized geometry)
# E_tot (eV per atom): -8.44
# ρ (g cm⁻³): 13.04
# M_tot (μB per formula unit): 1.95
# Crystal system: cubic
data_HfCoSiIr
_chemical_formula_sum 'Hf1 Co1 Si1 Ir1'
_cell_length_a 4.3520
_cell_length_b 4.3520
_cell_length_c 4.3520
_cell_angle_alpha 60.00
_cell_angle_beta 60.00
_cell_angle_gamma 60.00
_symmetry_space_group_name_H-M 'P 1'
_symmetry_Int_Tables_number 1
loop_
_symmetry_equiv_pos_as_xyz
'x,y,z'
loop_
_atom_site_label
_atom_site_fract_x
_atom_site_fract_y
_atom_site_fract_z
Co1 0.7500 0.7500 0.7500
Hf1 0.5000 0.5000 0.5000
Ir1 0.2500 0.2500 0.2500
Si1 0.0000 0.0000 0.0000

Entry 8:
# HfCoSiIr (PBE-GGA, optimized geometry)
# E_tot (eV per atom): -8.02
# ρ (g cm⁻³): 12.64
# M_tot (μB per formula unit): 1.88
# Crystal system: cubic
data_HfCoSiIr
_chemical_formula_sum 'Hf1 Co1 Si1 Ir1'
_cell_length_a 4.3973
_cell_length_b 4.3973
_cell_length_c 4.3973
_cell_angle_alpha 60.00
_cell_angle_beta 60.00
_cell_angle_gamma 60.00
_symmetry_space_group_name_H-M 'P 1'
_symmetry_Int_Tables_number 1
loop_
_symmetry_equiv_pos_as_xyz
'x,y,z'
loop_
_atom_site_label
_atom_site_fract_x
_atom_site_fract_y
_atom_site_fract_z
Co1 0.7500 0.7500 0.7500
Hf1 0.2500 0.2500 0.2500
Ir1 0.5000 0.5000 0.5000
Si1 0.0000 0.0000 0.0000

Q: Which of these has the highest ρ?
A: number 3

Q: Look up the M_tot of the second one.
A: 0.16 μB per formula unit